The following is a PBE calculation of a relaxed structure of LaIrSF, from the Alexandria database.

Values from the calculation:
The distance to the lowest polymorph of the same formula is 0.0219 eV per atom. For the raw total energy, the calculation gives -6.711 eV per atom. Its crystal system is trigonal. Its uncorrected formation energy is -1.764 eV per atom. For the density of states at the Fermi level, the calculation gives 5.16 states/eV/cell.

Cell lengths 4.0293, 4.0293, 17.2096 Å; angles 90.00, 90.00, 120.00 degrees
Space group R3m (No. 160, hexagonal axes)
Asymmetric unit:
La1 0.0000 0.0000 0.0000
Ir1 0.0000 0.0000 0.4453
S1 0.0000 0.0000 0.8016
F1 0.0000 0.0000 0.6195